Compound: SrAlO3
Source: Alexandria
Functional: PBE
Structure: optimized geometry

Cell: 17.753 5.617 6.951 Å, 90.00 158.78 90.00°
Fractional positions:
O (0.115, 0.750, 0.115)
Sr (0.386, 0.750, 0.386)
Sr (0.114, 0.250, 0.114)
O (0.235, 0.987, 0.734)
O (0.885, 0.250, 0.885)
O (0.507, 0.867, 0.006)
Al (0.348, 0.763, 0.848)
Sr (0.614, 0.250, 0.614)
Sr (0.886, 0.750, 0.886)
O (0.735, 0.513, 0.234)
O (0.265, 0.487, 0.766)
O (0.493, 0.133, 0.994)
O (0.615, 0.750, 0.615)
O (0.765, 0.013, 0.266)
Al (0.152, 0.263, 0.652)
O (0.993, 0.367, 0.494)
O (0.007, 0.633, 0.506)
Al (0.652, 0.237, 0.152)
O (0.385, 0.250, 0.385)
Al (0.848, 0.737, 0.348)

Results
* symmetry: No. 64
* uncorrected formation energy: -243 kJ/mol of atoms
* VASP energy: -6.5827 eV/atom

***

Compound: SrTaAlO5
Source: Alexandria
Functional: PBE
Structure: optimized geometry

Cell: 5.771 5.771 7.533 Å, 104.71 104.71 105.65°
Fractional positions:
O (0.888, 0.295, 0.106)
Al (0.314, 0.686, 0.750)
O (0.705, 0.112, 0.394)
O (0.238, 0.365, 0.597)
O (0.365, 0.238, 0.097)
O (0.937, 0.063, 0.750)
Ta (0.000, 0.000, 0.000)
O (0.635, 0.762, 0.903)
O (0.762, 0.635, 0.403)
Ta (0.000, 0.000, 0.500)
O (0.112, 0.705, 0.894)
Sr (0.330, 0.670, 0.250)
O (0.063, 0.937, 0.250)
Sr (0.670, 0.330, 0.750)
O (0.295, 0.888, 0.606)
Al (0.686, 0.314, 0.250)

Results
* symmetry: No. 15
* uncorrected formation energy: -295 kJ/mol of atoms
* VASP energy: -8.3122 eV/atom

***

Compound: SrTbAlO4
Source: Alexandria
Functional: PBE
Structure: optimized geometry

Cell: 3.728 3.728 6.670 Å, 106.23 106.23 90.00°
Fractional positions:
O (0.171, 0.171, 0.343)
O (0.992, 0.492, 0.983)
Sr (0.646, 0.646, 0.291)
O (0.492, 0.992, 0.983)
Al (0.001, 0.001, 0.001)
Tb (0.360, 0.360, 0.721)
O (0.839, 0.839, 0.678)

Results
* symmetry: No. 107
* uncorrected formation energy: -303 kJ/mol of atoms
* VASP energy: -7.4150 eV/atom

***

Compound: SrAlTcO5
Source: Alexandria
Functional: PBE
Structure: optimized geometry

Cell: 5.740 5.740 7.366 Å, 104.64 104.64 106.00°
Last column: magnetic moment on the atom in μB.
Fractional positions:
Sr (0.330, 0.670, 0.250)  0.00
Tc (0.000, 0.000, 0.000)  1.23
O (0.763, 0.634, 0.404)  0.09
O (0.047, 0.953, 0.250)  -0.02
O (0.237, 0.366, 0.596)  0.09
O (0.301, 0.889, 0.601)  0.05
O (0.366, 0.237, 0.096)  0.09
Sr (0.670, 0.330, 0.750)  0.00
O (0.953, 0.047, 0.750)  -0.02
Tc (0.000, 0.000, 0.500)  1.23
O (0.699, 0.111, 0.399)  0.05
O (0.634, 0.763, 0.904)  0.09
O (0.111, 0.699, 0.899)  0.05
Al (0.689, 0.311, 0.250)  0.01
O (0.889, 0.301, 0.101)  0.05
Al (0.311, 0.689, 0.750)  0.01

Results
* symmetry: No. 15
* uncorrected formation energy: -223 kJ/mol of atoms
* VASP energy: -7.3884 eV/atom

***

Compound: Sr2AlTcO6
Source: Alexandria
Functional: PBE
Structure: optimized geometry

Cell: 5.587 5.587 9.808 Å, 73.45 73.45 60.00°
Last column: magnetic moment on the atom in μB.
Fractional positions:
O (0.613, 0.613, 0.629)  0.03
O (0.854, 0.387, 0.371)  0.03
O (0.799, 0.799, 0.116)  0.06
Sr (0.133, 0.133, 0.601)  0.00
O (0.387, 0.387, 0.371)  0.03
Sr (0.867, 0.867, 0.399)  0.00
Sr (0.281, 0.281, 0.156)  0.01
Tc (0.592, 0.592, 0.223)  1.50
O (0.714, 0.201, 0.884)  0.06
Al (0.500, 0.500, 0.500)  0.01
O (0.286, 0.799, 0.116)  0.06
O (0.201, 0.201, 0.884)  0.06
Tc (0.408, 0.408, 0.777)  1.50
Sr (0.719, 0.719, 0.844)  0.01
O (0.799, 0.286, 0.116)  0.06
Al (0.000, 0.000, 0.000)  0.00
O (0.387, 0.854, 0.371)  0.03
O (0.146, 0.613, 0.629)  0.03
O (0.201, 0.714, 0.884)  0.06
O (0.613, 0.146, 0.629)  0.03

Results
* symmetry: No. 166
* uncorrected formation energy: -234 kJ/mol of atoms
* VASP energy: -7.1426 eV/atom

***

Compound: SrAlTcO6
Source: Alexandria
Functional: PBE
Structure: optimized geometry

Cell: 5.092 5.092 5.394 Å, 90.00 90.00 60.00°
Fractional positions:
O (0.386, 0.612, 0.302)
Tc (0.333, 0.333, 0.500)
O (0.002, 0.386, 0.302)
Al (0.667, 0.667, 0.500)
O (0.002, 0.612, 0.698)
O (0.386, 0.002, 0.698)
O (0.612, 0.002, 0.302)
O (0.612, 0.386, 0.698)
Sr (0.000, 0.000, 0.000)

Results
* symmetry: No. 149
* uncorrected formation energy: -207 kJ/mol of atoms
* VASP energy: -7.2067 eV/atom

***

Compound: Sr3Al2TcO8
Source: Alexandria
Functional: PBE
Structure: optimized geometry

Cell: 5.581 5.581 7.101 Å, 90.00 90.00 120.00°
Last column: magnetic moment on the atom in μB.
Fractional positions:
Al (0.667, 0.333, 0.784)  0.00
O (0.333, 0.167, 0.674)  0.07
O (0.167, 0.833, 0.326)  0.07
O (0.333, 0.667, 0.976)  0.01
Sr (0.000, 0.000, 0.000)  0.01
O (0.833, 0.167, 0.674)  0.07
O (0.833, 0.667, 0.674)  0.07
Tc (0.000, 0.000, 0.500)  2.23
O (0.667, 0.333, 0.024)  0.01
Sr (0.333, 0.667, 0.656)  0.00
O (0.167, 0.333, 0.326)  0.07
O (0.667, 0.833, 0.326)  0.07
Sr (0.667, 0.333, 0.344)  0.00
Al (0.333, 0.667, 0.216)  0.00

Results
* symmetry: No. 164
* uncorrected formation energy: -248 kJ/mol of atoms
* VASP energy: -7.0424 eV/atom

***

Compound: SrTiAl2O6
Source: Alexandria
Functional: PBE
Structure: optimized geometry

Cell: 6.163 7.093 7.093 Å, 103.70 74.63 74.63°
Fractional positions:
Sr (0.750, 0.108, 0.892)
Al (0.664, 0.301, 0.446)
O (0.298, 0.228, 0.049)
O (0.958, 0.364, 0.815)
O (0.042, 0.636, 0.185)
O (0.955, 0.335, 0.426)
O (0.798, 0.049, 0.228)
O (0.545, 0.574, 0.665)
O (0.045, 0.665, 0.574)
O (0.455, 0.426, 0.335)
Al (0.336, 0.699, 0.554)
Sr (0.250, 0.892, 0.108)
O (0.542, 0.185, 0.636)
Al (0.164, 0.446, 0.301)
O (0.458, 0.815, 0.364)
Al (0.836, 0.554, 0.699)
O (0.202, 0.951, 0.772)
O (0.702, 0.772, 0.951)
Ti (0.250, 0.200, 0.800)
Ti (0.750, 0.800, 0.200)

Results
* symmetry: No. 15
* uncorrected formation energy: -291 kJ/mol of atoms
* VASP energy: -7.7004 eV/atom

***

Compound: Sr3TiAl2O9
Source: Alexandria
Functional: PBE
Structure: optimized geometry

Cell: 5.473 5.473 6.712 Å, 90.00 90.00 120.00°
Last column: magnetic moment on the atom in μB.
Fractional positions:
Al (0.333, 0.667, 0.162)  0.00
O (0.169, 0.831, 0.330)  -0.03
O (0.000, 0.500, 0.000)  -0.08
O (0.500, 0.500, 0.000)  -0.08
O (0.338, 0.169, 0.670)  -0.03
O (0.169, 0.338, 0.330)  -0.03
Al (0.667, 0.333, 0.838)  0.00
O (0.500, 0.000, 0.000)  -0.08
Sr (0.333, 0.667, 0.669)  0.00
Sr (0.667, 0.333, 0.331)  0.00
O (0.831, 0.169, 0.670)  -0.03
O (0.662, 0.831, 0.330)  -0.03
Ti (0.000, 0.000, 0.500)  0.01
Sr (0.000, 0.000, 0.000)  0.00
O (0.831, 0.662, 0.670)  -0.03

Results
* symmetry: No. 164
* uncorrected formation energy: -270 kJ/mol of atoms
* VASP energy: -7.1323 eV/atom

***

Compound: Sr3TiAl2O8
Source: Alexandria
Functional: PBE
Structure: optimized geometry

Cell: 5.542 5.542 7.064 Å, 90.00 90.00 120.00°
Fractional positions:
Al (0.333, 0.667, 0.219)
Sr (0.333, 0.667, 0.655)
O (0.166, 0.834, 0.332)
Sr (0.000, 0.000, 0.000)
O (0.166, 0.331, 0.332)
Ti (0.000, 0.000, 0.500)
O (0.331, 0.166, 0.668)
O (0.834, 0.166, 0.668)
O (0.834, 0.669, 0.668)
O (0.667, 0.333, 0.022)
Al (0.667, 0.333, 0.781)
O (0.669, 0.834, 0.332)
O (0.333, 0.667, 0.978)
Sr (0.667, 0.333, 0.345)

Results
* symmetry: No. 164
* uncorrected formation energy: -287 kJ/mol of atoms
* VASP energy: -7.2628 eV/atom

***

Compound: Sr2YTi2AlO7
Source: Alexandria
Functional: PBE
Structure: optimized geometry

Cell: 12.119 12.119 12.119 Å, 153.73 153.00 38.03°
Fractional positions:
Ti (0.563, 0.042, 0.481)
O (0.689, 0.668, 0.492)
O (0.376, 0.771, 0.510)
O (0.311, 0.804, 0.980)
Ti (0.939, 0.418, 0.481)
Al (0.175, 0.760, 0.435)
O (0.906, 0.580, 0.986)
O (0.814, 0.793, 0.468)
O (0.094, 0.080, 0.674)
O (0.624, 0.135, 0.396)
O (0.186, 0.654, 0.979)
O (0.676, 0.168, 0.980)
Al (0.825, 0.260, 0.584)
Sr (0.181, 0.145, 0.013)
O (0.761, 0.271, 0.396)
Sr (0.632, 0.645, 0.963)
O (0.324, 0.304, 0.492)
O (0.825, 0.293, 0.979)
Sr (0.819, 0.832, 0.963)
Sr (0.368, 0.332, 0.013)
Y (0.500, 0.479, 0.979)
Y (0.000, 0.979, 0.979)
O (0.239, 0.635, 0.510)
O (0.175, 0.154, 0.468)
Ti (0.437, 0.918, 0.479)
Ti (0.061, 0.542, 0.479)

Results
* symmetry: No. 46
* uncorrected formation energy: -277 kJ/mol of atoms
* VASP energy: -7.8009 eV/atom

***

Compound: SrAlTlO4
Source: Alexandria
Functional: PBE
Structure: optimized geometry

Cell: 5.641 5.823 6.751 Å, 90.00 107.18 90.00°
Fractional positions:
Sr (0.279, 0.250, 0.063)
O (0.473, 0.750, 0.582)
O (0.527, 0.250, 0.418)
O (0.041, 0.978, 0.281)
O (0.959, 0.022, 0.719)
Tl (0.806, 0.750, 0.458)
O (0.959, 0.478, 0.719)
O (0.041, 0.522, 0.281)
O (0.546, 0.250, 0.840)
Tl (0.194, 0.250, 0.542)
Sr (0.721, 0.750, 0.937)
O (0.454, 0.750, 0.160)
Al (0.731, 0.250, 0.670)
Al (0.269, 0.750, 0.330)

Results
* symmetry: No. 11
* uncorrected formation energy: -198 kJ/mol of atoms
* VASP energy: -6.0015 eV/atom